[1]
{
  "formula": "Rb2CoBr6N",
  "functional": "GGA-PBE",
  "state": "optimized geometry",
  "m_tot_mub_per_fu": 1.91,
  "formation_energy_uncorrected_ev_per_fu": -2.9,
  "density_g_cm3": 4.28,
  "sg": "I4/mmm (139)",
  "lattice_angstrom": [[7.003, 0.000, 0.000], [0.000, 7.003, 0.000], [3.502, 3.502, 5.718]],
  "species": ["Br", "Rb", "Br", "Rb", "Br", "Br", "Br", "Br", "N", "Co"],
  "frac_coords": [[0.261, 0.739, 0.000], [0.750, 0.250, 0.500], [0.789, 0.789, 0.422], [0.250, 0.750, 0.500], [0.261, 0.261, 0.000], [0.739, 0.739, 0.000], [0.211, 0.211, 0.578], [0.739, 0.261, 0.000], [0.500, 0.500, 0.000], [0.000, 0.000, 0.000]]
}

[2]
{
  "formula": "YHoRh2",
  "functional": "GGA-PBE",
  "state": "optimized geometry",
  "m_tot_mub_per_fu": 0.00,
  "density_g_cm3": 9.52,
  "sg": "Fm-3m (225)",
  "e_above_lowest_polymorph_ev_per_atom": 0.000,
  "e_form_ev_per_fu": -3.50,
  "lattice_angstrom": [[-4.243, -0.714, 2.218], [-0.861, -4.176, 2.291], [-0.216, -0.109, 4.835]],
  "species": ["Y", "Ho", "Rh", "Rh"],
  "frac_coords": [[0.000, 0.000, 0.000], [0.500, 0.500, 0.500], [0.750, 0.750, 0.750], [0.250, 0.250, 0.250]]
}

[3]
{
  "formula": "Li3HgPd3",
  "functional": "GGA-PBE",
  "state": "optimized geometry",
  "m_tot_mub_per_fu": 0.00,
  "density_g_cm3": 8.43,
  "sg": "P2_13 (198)",
  "e_above_lowest_polymorph_ev_per_atom": 0.076,
  "e_form_ev_per_fu": -2.02,
  "lattice_angstrom": [[-6.422, -3.140, 2.350], [3.526, -6.596, 0.825], [1.716, 1.805, 7.101]],
  "species": ["Li", "Pd", "Pd", "Pd", "Li", "Pd", "Pd", "Li", "Li", "Li", "Hg", "Hg", "Pd", "Li", "Li", "Hg", "Pd", "Li", "Pd", "Li", "Li", "Pd", "Li", "Pd", "Pd", "Pd", "Hg", "Li"],
  "frac_coords": [[0.482, 0.800, 0.400], [0.208, 0.208, 0.208], [0.792, 0.708, 0.292], [0.119, 0.381, 0.619], [0.700, 0.600, 0.982], [0.708, 0.292, 0.792], [0.345, 0.155, 0.845], [0.200, 0.900, 0.018], [0.800, 0.400, 0.482], [0.400, 0.482, 0.800], [0.060, 0.560, 0.940], [0.940, 0.060, 0.560], [0.881, 0.881, 0.881], [0.900, 0.018, 0.200], [0.100, 0.518, 0.300], [0.560, 0.940, 0.060], [0.655, 0.655, 0.655], [0.518, 0.300, 0.100], [0.292, 0.792, 0.708], [0.600, 0.982, 0.700], [0.018, 0.200, 0.900], [0.381, 0.619, 0.119], [0.300, 0.100, 0.518], [0.619, 0.119, 0.381], [0.155, 0.845, 0.345], [0.845, 0.345, 0.155], [0.440, 0.440, 0.440], [0.982, 0.700, 0.600]]
}

[4]
{
  "formula": "Ti7In2Co2",
  "functional": "GGA-PBE",
  "state": "optimized geometry",
  "m_tot_mub_per_fu": 0.00,
  "density_g_cm3": 5.50,
  "sg": "Cmmm (65)",
  "e_form_ev_per_fu": 1.24,
  "lattice_angstrom": [[5.971, -0.003, -0.586], [0.002, 5.916, 0.002], [-0.957, -0.002, 5.922]],
  "species": ["Ti", "Ti", "Ti", "Co", "In", "Ti", "Ti", "In", "Ti", "Ti", "Co"],
  "frac_coords": [[0.000, 0.000, 0.000], [0.000, 0.763, 0.500], [0.500, 0.767, 0.500], [0.281, 0.000, 0.719], [0.184, 0.500, 0.184], [0.500, 0.233, 0.500], [0.500, 0.763, 0.000], [0.816, 0.500, 0.816], [0.500, 0.237, 0.000], [0.000, 0.237, 0.500], [0.719, 0.000, 0.281]]
}

[5]
{
  "formula": "RbSeBr3",
  "functional": "GGA-PBE",
  "state": "optimized geometry",
  "m_tot_mub_per_fu": 1.00,
  "formation_energy_uncorrected_ev_per_fu": -2.6,
  "density_g_cm3": 1.77,
  "sg": "I-4m2 (119)",
  "lattice_angstrom": [[8.109, 0.000, 0.000], [0.000, 8.109, 0.000], [4.055, 4.055, 11.531]],
  "species": ["Rb", "Br", "Se", "Se", "Br", "Br", "Br", "Br", "Br", "Rb"],
  "frac_coords": [[0.000, 0.000, 0.000], [0.547, 0.887, 0.226], [0.798, 0.298, 0.405], [0.702, 0.202, 0.595], [0.142, 0.142, 0.715], [0.113, 0.773, 0.774], [0.113, 0.453, 0.774], [0.858, 0.858, 0.285], [0.227, 0.887, 0.226], [0.250, 0.750, 0.500]]
}

[6]
{
  "formula": "Te3P",
  "functional": "GGA-PBE",
  "state": "optimized geometry",
  "m_tot_mub_per_fu": 0.00,
  "formation_energy_uncorrected_ev_per_fu": 2.0,
  "density_g_cm3": 6.80,
  "sg": "P4/mmm (123)",
  "e_above_lowest_polymorph_ev_per_atom": 0.302,
  "lattice_angstrom": [[3.616, 0.000, 0.000], [0.000, 3.616, 0.000], [0.000, 0.000, 7.724]],
  "species": ["Te", "Te", "Te", "P"],
  "frac_coords": [[0.500, 0.500, 0.200], [0.000, 0.000, 0.500], [0.500, 0.500, 0.800], [0.000, 0.000, 0.000]]
}

[7]
{
  "formula": "HfSc6Tl5",
  "functional": "GGA-PBE",
  "state": "optimized geometry",
  "m_tot_mub_per_fu": 2.24,
  "density_g_cm3": 8.76,
  "sg": "Immm (71)",
  "e_form_ev_per_fu": -2.37,
  "lattice_angstrom": [[-2.736, 1.061, 4.143], [-5.441, 0.840, -6.916], [4.119, -7.661, 1.575]],
  "species": ["Hf", "Tl", "Sc", "Sc", "Tl", "Tl", "Sc", "Sc", "Tl", "Tl", "Sc", "Sc"],
  "frac_coords": [[0.000, 0.000, 0.000], [0.000, 0.332, 0.668], [0.750, 0.917, 0.583], [0.244, 0.744, 0.744], [0.500, 0.500, 0.500], [0.000, 0.668, 0.332], [0.756, 0.256, 0.256], [0.250, 0.417, 0.083], [0.500, 0.153, 0.847], [0.500, 0.847, 0.153], [0.250, 0.083, 0.417], [0.750, 0.583, 0.917]]
}

[8]
{
  "formula": "DyAl3Ni2",
  "functional": "GGA-PBE",
  "state": "optimized geometry",
  "m_tot_mub_per_fu": 0.00,
  "density_g_cm3": 6.11,
  "sg": "C2/m (12)",
  "e_form_ev_per_fu": -3.56,
  "lattice_angstrom": [[4.000, 0.000, 0.000], [-2.000, 7.581, -2.499], [0.000, 0.005, 9.705]],
  "species": ["Dy", "Ni", "Al", "Ni", "Al", "Al", "Al", "Ni", "Ni", "Ni", "Al", "Dy", "Al", "Al", "Dy", "Ni", "Al", "Al"],
  "frac_coords": [[0.000, 0.000, 0.000], [0.801, 0.602, 0.869], [0.782, 0.564, 0.604], [0.199, 0.398, 0.131], [0.218, 0.436, 0.396], [0.046, 0.091, 0.347], [0.325, 0.650, 0.034], [0.364, 0.729, 0.552], [0.636, 0.271, 0.448], [0.476, 0.952, 0.225], [0.954, 0.909, 0.653], [0.157, 0.314, 0.704], [0.500, 0.000, 0.500], [0.629, 0.258, 0.204], [0.843, 0.686, 0.296], [0.524, 0.048, 0.775], [0.675, 0.350, 0.966], [0.371, 0.742, 0.796]]
}

[9]
{
  "formula": "AlCr3Ir",
  "functional": "GGA-PBE",
  "state": "optimized geometry",
  "m_tot_mub_per_fu": 9.70,
  "density_g_cm3": 5.92,
  "sg": "Pm-3m (221)",
  "e_above_lowest_polymorph_ev_per_atom": 0.000,
  "e_form_ev_per_fu": 5.90,
  "lattice_angstrom": [[-0.538, 1.524, 4.437], [3.761, -2.529, 1.325], [2.804, 3.685, -0.926]],
  "species": ["Cr", "Ir", "Cr", "Al", "Cr"],
  "frac_coords": [[0.500, 0.000, 0.000], [0.000, 0.000, 0.000], [0.000, 0.500, 0.000], [0.500, 0.500, 0.500], [0.000, 0.000, 0.500]]
}

[10]
{
  "formula": "AgPdS4",
  "functional": "GGA-PBE",
  "state": "optimized geometry",
  "m_tot_mub_per_fu": 0.00,
  "formation_energy_uncorrected_ev_per_fu": -0.4,
  "density_g_cm3": 3.82,
  "sg": "C2/c (15)",
  "lattice_angstrom": [[9.047, 0.632, -1.563], [-2.911, 5.583, -3.802], [-0.517, -1.829, 7.106]],
  "species": ["S", "Ag", "S", "S", "Pd", "S", "S", "S", "Pd", "S", "S", "Ag"],
  "frac_coords": [[0.486, 0.035, 0.273], [0.250, 0.500, 0.500], [0.514, 0.965, 0.727], [0.515, 0.728, 0.966], [0.750, 0.000, 0.000], [0.986, 0.034, 0.273], [0.015, 0.727, 0.965], [0.014, 0.966, 0.727], [0.250, 0.000, 0.000], [0.985, 0.273, 0.035], [0.485, 0.272, 0.034], [0.750, 0.500, 0.500]]
}

[11]
{
  "formula": "CeGa12Co4",
  "functional": "GGA-PBE",
  "state": "optimized geometry",
  "m_tot_mub_per_fu": 2.64,
  "density_g_cm3": 5.43,
  "sg": "Im-3m (229)",
  "e_form_ev_per_fu": -2.84,
  "lattice_angstrom": [[-2.816, -7.231, 1.113], [3.367, 0.434, -7.066], [5.315, 1.614, 5.531]],
  "species": ["Ga", "Ga", "Ga", "Ga", "Ce", "Ga", "Co", "Ga", "Ga", "Ga", "Ga", "Ga", "Co", "Co", "Ga", "Ga", "Co"],
  "frac_coords": [[0.260, 0.520, 0.260], [0.520, 0.260, 0.260], [0.260, 0.740, 0.000], [0.480, 0.740, 0.740], [0.000, 0.000, 0.000], [0.740, 0.260, 0.000], [0.000, 0.000, 0.500], [0.260, 0.260, 0.520], [0.000, 0.260, 0.740], [0.260, 0.000, 0.740], [0.740, 0.000, 0.260], [0.740, 0.740, 0.480], [0.500, 0.000, 0.000], [0.000, 0.500, 0.000], [0.000, 0.740, 0.260], [0.740, 0.480, 0.740], [0.500, 0.500, 0.500]]
}

[12]
{
  "formula": "CoTeP2",
  "functional": "GGA-PBE",
  "state": "optimized geometry",
  "m_tot_mub_per_fu": 0.95,
  "formation_energy_uncorrected_ev_per_fu": 1.7,
  "density_g_cm3": 3.72,
  "sg": "Imm2 (44)",
  "lattice_angstrom": [[-0.998, 6.307, 2.387], [-3.704, 0.947, 5.644], [5.430, -2.263, -3.445]],
  "species": ["Te", "Co", "P", "P"],
  "frac_coords": [[0.353, 0.353, 0.000], [0.189, 0.689, 0.500], [0.916, 0.416, 0.500], [0.042, 0.042, 0.000]]
}

[13]
{
  "formula": "HfPdAu2S",
  "functional": "GGA-PBE",
  "state": "optimized geometry",
  "m_tot_mub_per_fu": 0.00,
  "formation_energy_uncorrected_ev_per_fu": 2.0,
  "density_g_cm3": 9.04,
  "sg": "P4/mmm (123)",
  "lattice_angstrom": [[-4.802, 0.102, 2.148], [-1.922, -0.607, -4.268], [0.184, -5.216, 0.659]],
  "species": ["S", "Hf", "Au", "Pd", "Au"],
  "frac_coords": [[0.000, 0.500, 0.000], [0.000, 0.000, 0.000], [0.500, 0.000, 0.000], [0.500, 0.500, 0.500], [0.000, 0.000, 0.500]]
}

[14]
{
  "formula": "ErTm3C2",
  "functional": "GGA-PBE",
  "state": "optimized geometry",
  "m_tot_mub_per_fu": 0.74,
  "density_g_cm3": 8.88,
  "sg": "R-3m (166)",
  "e_form_ev_per_fu": -2.03,
  "lattice_angstrom": [[0.789, 5.304, 11.480], [7.337, 3.124, 9.847], [2.779, 4.969, 4.507]],
  "species": ["Tm", "Tm", "C", "Er", "Tm", "C", "Er", "C", "C", "Tm", "Tm", "Tm"],
  "frac_coords": [[0.740, 0.740, 0.260], [0.760, 0.260, 0.740], [0.500, 0.000, 0.000], [0.241, 0.241, 0.259], [0.260, 0.260, 0.740], [0.500, 0.500, 0.000], [0.759, 0.759, 0.741], [0.000, 0.500, 0.000], [0.000, 0.000, 0.000], [0.740, 0.240, 0.260], [0.240, 0.740, 0.260], [0.260, 0.760, 0.740]]
}

[15]
{
  "formula": "KMnRh2",
  "functional": "GGA-PBE",
  "state": "optimized geometry",
  "m_tot_mub_per_fu": 5.68,
  "density_g_cm3": 6.96,
  "sg": "F-43m (216)",
  "e_above_lowest_polymorph_ev_per_atom": 0.581,
  "e_form_ev_per_fu": 3.40,
  "lattice_angstrom": [[4.660, 0.000, 0.000], [2.330, 4.036, 0.000], [2.330, 1.345, 3.805]],
  "species": ["Rh", "K", "Mn", "Rh"],
  "frac_coords": [[0.000, 0.000, 0.000], [0.500, 0.500, 0.500], [0.750, 0.750, 0.750], [0.250, 0.250, 0.250]]
}

[16]
{
  "formula": "LiCaN2F",
  "functional": "GGA-PBE",
  "state": "optimized geometry",
  "m_tot_mub_per_fu": 0.78,
  "formation_energy_uncorrected_ev_per_fu": -0.9,
  "density_g_cm3": 2.98,
  "sg": "P4/mmm (123)",
  "e_above_lowest_polymorph_ev_per_atom": 0.000,
  "lattice_angstrom": [[-0.238, 1.032, -3.322], [2.524, -2.240, -0.877], [-2.962, -3.050, -0.735]],
  "species": ["F", "Li", "N", "N", "Ca"],
  "frac_coords": [[0.000, 0.000, 0.500], [0.000, 0.000, 0.000], [0.000, 0.500, 0.000], [0.500, 0.000, 0.000], [0.500, 0.500, 0.500]]
}

[17]
{
  "formula": "Dy7Tl2Ir2",
  "functional": "GGA-PBE",
  "state": "optimized geometry",
  "m_tot_mub_per_fu": 0.00,
  "density_g_cm3": 10.01,
  "sg": "Cmmm (65)",
  "e_form_ev_per_fu": -4.76,
  "lattice_angstrom": [[-5.736, 3.706, 0.491], [-0.258, -1.324, 6.978], [5.159, 4.384, 1.022]],
  "species": ["Tl", "Ir", "Dy", "Dy", "Dy", "Tl", "Dy", "Dy", "Ir", "Dy", "Dy"],
  "frac_coords": [[0.182, 0.500, 0.182], [0.713, 0.000, 0.287], [0.500, 0.239, 0.500], [0.000, 0.246, 0.500], [0.000, 0.754, 0.500], [0.818, 0.500, 0.818], [0.500, 0.754, 0.000], [0.500, 0.246, 0.000], [0.287, 0.000, 0.713], [0.500, 0.761, 0.500], [0.000, 0.000, 0.000]]
}

[18]
{
  "formula": "Pm5Er4Tm2",
  "functional": "GGA-PBE",
  "state": "optimized geometry",
  "m_tot_mub_per_fu": 0.00,
  "density_g_cm3": 8.09,
  "sg": "C2/m (12)",
  "e_above_lowest_polymorph_ev_per_atom": 0.000,
  "e_form_ev_per_fu": 1.39,
  "lattice_angstrom": [[6.392, -0.009, 1.721], [2.262, 5.978, 1.721], [-0.110, -0.076, 9.260]],
  "species": ["Er", "Pm", "Pm", "Er", "Er", "Pm", "Tm", "Er", "Pm", "Pm", "Tm"],
  "frac_coords": [[0.335, 0.335, 0.117], [0.213, 0.654, 0.769], [0.787, 0.346, 0.231], [0.303, 0.303, 0.501], [0.697, 0.697, 0.499], [0.346, 0.787, 0.231], [0.146, 0.146, 0.884], [0.665, 0.665, 0.883], [0.654, 0.213, 0.769], [0.000, 0.000, 0.500], [0.854, 0.854, 0.116]]
}

[19]
{
  "formula": "DyTm12Th3",
  "functional": "GGA-PBE",
  "state": "optimized geometry",
  "m_tot_mub_per_fu": 0.00,
  "density_g_cm3": 9.79,
  "sg": "P4/mmm (123)",
  "e_form_ev_per_fu": 0.54,
  "lattice_angstrom": [[4.971, 0.000, 0.000], [0.000, 4.971, 0.000], [0.000, 0.000, 19.811]],
  "species": ["Tm", "Tm", "Tm", "Tm", "Th", "Tm", "Tm", "Th", "Tm", "Tm", "Tm", "Tm", "Dy", "Th", "Tm", "Tm"],
  "frac_coords": [[0.000, 0.500, 0.874], [0.500, 0.500, 0.750], [0.000, 0.500, 0.126], [0.500, 0.000, 0.874], [0.000, 0.000, 0.749], [0.500, 0.000, 0.375], [0.000, 0.500, 0.375], [0.000, 0.000, 0.251], [0.500, 0.000, 0.126], [0.500, 0.500, 0.250], [0.000, 0.500, 0.625], [0.500, 0.500, 0.500], [0.000, 0.000, 0.000], [0.000, 0.000, 0.500], [0.500, 0.500, 0.000], [0.500, 0.000, 0.625]]
}

[20]
{
  "formula": "ZnCoOs",
  "functional": "GGA-PBE",
  "state": "optimized geometry",
  "m_tot_mub_per_fu": 0.67,
  "density_g_cm3": 12.05,
  "sg": "F-43m (216)",
  "e_above_lowest_polymorph_ev_per_atom": 0.415,
  "e_form_ev_per_fu": 1.38,
  "lattice_angstrom": [[3.943, 0.000, 0.000], [1.971, 3.415, 0.000], [1.971, 1.138, 3.219]],
  "species": ["Zn", "Co", "Os"],
  "frac_coords": [[0.500, 0.500, 0.500], [0.750, 0.750, 0.750], [0.000, 0.000, 0.000]]
}